Entry from the Open Quantum Materials Database: a geometry-optimized Sm3In3CuNi2 structure (GGA-PBE).

CIF file:
```
data_Sm3In3CuNi2
_cell_length_a 7.5411
_cell_length_b 7.5411
_cell_length_c 3.9392
_cell_angle_alpha 90.00
_cell_angle_beta 90.00
_cell_angle_gamma 120.00
_space_group_name_H-M_alt 'P -6 2 m'
_space_group_IT_number 189
_space_group_name_Hall 'P -6 -2'
loop_
_atom_site_label
_atom_site_fract_x
_atom_site_fract_y
_atom_site_fract_z
_atom_site_occupancy
Sm1 0.0000 0.5845 0.0000 1
In1 0.0000 0.2548 0.5000 1
Cu1 0.0000 0.0000 0.0000 1
Ni1 0.3333 0.6667 0.5000 1
```

Properties
The calculation puts the size of the total moment at 0.001 μB per atom. The value obtained for the calculated density is 8.36 Mg/m³. As for the uncorrected energy: -4.60 eV per atom.